Below is a geometry-optimized TmAg3 structure, with properties calculated at the PBE-GGA level.

Properties
E_form (eV per formula unit): -0.064
Symmetry: No. 166
Fermi-level density of states (states/eV/f.u.): 2.01
Size of the total moment (μB per atom): 0.00

a = 5.618 Å, b = 5.618 Å, c = 5.618 Å
α = 82.02°, β = 82.02°, γ = 82.02°
Element x y z (fractional)
Tm1 0.165 0.165 0.165
Tm2 0.835 0.835 0.835
Ag1 0.259 0.259 0.649
Ag2 0.259 0.649 0.259
Ag3 0.351 0.741 0.741
Ag4 0.649 0.259 0.259
Ag5 0.741 0.351 0.741
Ag6 0.741 0.741 0.351